No. 1
DFT (PBE) results for a relaxed structure of La12Tb3Pr.

extended XYZ file:
```
16
Lattice="-0.972 -4.113 -3.074 3.770 1.552 -3.269 13.938 -11.299 10.714" Properties=species:S:1:pos:R:3 pbc="T T T"
La 1.399 -1.281 -3.171
La 4.902 -4.120 -0.479
La 8.369 -6.930 2.186
La 11.835 -9.740 4.850
La 1.281 -3.489 -0.179
La 4.751 -6.302 2.488
La 8.216 -9.111 5.152
La 11.686 -11.923 7.819
La 3.652 -0.656 -0.276
La 7.122 -3.469 2.391
La 10.587 -6.278 5.054
La 14.057 -9.091 7.721
Tb 3.503 -2.840 2.692
Tb 6.969 -5.650 5.357
Tb 10.436 -8.460 8.021
Pr 0.000 0.000 0.000
```

***

No. 2
DFT (PBE) results for a relaxed structure of La6TbPr2.

extended XYZ file:
```
9
Lattice="3.694 0.000 0.000 -1.847 3.199 0.000 0.000 0.000 27.784" Properties=species:S:1:pos:R:3 pbc="T T T"
La 1.847 1.066 24.856
La 0.000 2.133 12.183
La 0.000 2.133 21.733
La 0.000 2.133 6.051
La 0.000 2.133 15.600
La 1.847 1.066 2.927
Tb 0.000 2.133 0.000
Pr 1.847 1.066 9.171
Pr 1.847 1.066 18.613
```

## Properties
For the relative energy among the computed polymorphs, the calculation gives 0.00 eV/f.u.

***

no.,energy (eV for the cell shown)
1,-77.67
2,-43.26